No. 1
This record from the Alexandria database describes crystalline CrHg2W at its relaxed geometry. The functional is GGA-PBE.

Properties
* VASP energy: -4.89 eV per atom
* E above lowest polymorph: 0.419 eV per atom
* space-group type: Fm-3m (225)
* formation enthalpy at 0 K: 3.62 eV per formula unit
* spin magnetization: 7.72 Bohr magnetons per cell

abc: 6.6440 6.6440 6.6440
angles: 90.00 90.00 90.00
Positions (direct):
Cr: 0.0000 0.0000 0.0000
Cr: 0.0000 0.5000 0.5000
Cr: 0.5000 0.0000 0.5000
Cr: 0.5000 0.5000 0.0000
Hg: 0.2500 0.2500 0.2500
Hg: 0.2500 0.2500 0.7500
Hg: 0.2500 0.7500 0.2500
Hg: 0.2500 0.7500 0.7500
Hg: 0.7500 0.2500 0.2500
Hg: 0.7500 0.2500 0.7500
Hg: 0.7500 0.7500 0.2500
Hg: 0.7500 0.7500 0.7500
W: 0.0000 0.0000 0.5000
W: 0.0000 0.5000 0.0000
W: 0.5000 0.0000 0.0000
W: 0.5000 0.5000 0.5000

***

No. 2
This record from the Alexandria database describes crystalline CrHgW at its relaxed geometry. The functional is GGA-PBE.

Properties
* VASP energy: -7.04 eV per atom
* E above lowest polymorph: 0.016 eV per atom
* space-group type: P3m1 (156)
* formation enthalpy at 0 K: 1.76 eV per formula unit
* spin magnetization: 0.00 Bohr magnetons per cell

abc: 3.0236 3.0236 6.5475
angles: 90.00 90.00 120.00
Positions (direct):
Cr: 0.0000 0.0000 0.0000
Hg: 0.6667 0.3333 0.3594
W: 0.3333 0.6667 0.7476